[1]
Na2Hf2V | PBE | optimized geometry

Cell lengths 6.552, 6.552, 6.138 Å; angles 90.00, 90.00, 90.00 degrees
Element x y z (fractional)
Na: 0.176 0.676 0.500
Na: 0.676 0.824 0.500
Na: 0.824 0.324 0.500
Na: 0.324 0.176 0.500
Hf: 0.323 0.823 0.000
Hf: 0.823 0.677 0.000
Hf: 0.677 0.177 0.000
Hf: 0.177 0.323 0.000
V: 0.000 0.000 0.000
V: 0.500 0.500 0.000

## Properties
* space-group type: P4/mbm
* D(E_F): 7.4 states/eV/cell
* formation enthalpy at 0 K: 0.87 eV per atom
* offset from the most stable computed form: 0.150 eV per atom
* density: 5720 kg/m3

***

[2]
LiSmBiPb | PBE | optimized geometry

Cell lengths 5.404, 5.404, 5.404 Å; angles 60.00, 60.00, 60.00 degrees
Element x y z (fractional)
Pb: 0.250 0.250 0.250
Bi: 0.750 0.750 0.750
Sm: 0.500 0.500 0.500
Li: 0.000 0.000 0.000

## Properties
* space-group type: F-43m
* D(E_F): 3.8 states/eV/cell
* formation enthalpy at 0 K: -0.37 eV per atom
* density: 8533 kg/m3

***

[3]
ReP | PBE | optimized geometry

Cell lengths 3.741, 3.741, 5.106 Å; angles 90.00, 90.00, 120.00 degrees
Element x y z (fractional)
Re: 0.000 0.000 0.000
Re: 0.000 0.000 0.500
P: 0.333 0.667 0.250
P: 0.667 0.333 0.750

## Properties
* space-group type: P6_3/mmc
* D(E_F): 3.7 states/eV/cell
* formation enthalpy at 0 K: 0.09 eV per atom
* offset from the most stable computed form: 0.382 eV per atom
* density: 11656 kg/m3

***

[4]
La2MgMn | PBE | optimized geometry

Cell lengths 3.525, 3.525, 8.916 Å; angles 90.00, 90.00, 90.02 degrees
Last column: magnetic moment on the atom in μB.
Element x y z (fractional)
La: 0.000 0.000 0.944  0.18
La: 0.500 0.500 0.281  -0.02
Mg: 0.000 0.000 0.556  0.03
Mn: 0.500 0.500 0.719  -3.59

## Properties
* space-group type: P4mm
* D(E_F): 5.3 states/eV/cell
* formation enthalpy at 0 K: 0.17 eV per atom
* density: 5350 kg/m3

***

[5]
MnCrPdN | PBE | optimized geometry

Cell lengths 3.733, 2.792, 9.800 Å; angles 90.00, 90.00, 90.00 degrees
Last column: magnetic moment on the atom in μB.
Element x y z (fractional)
Mn: 0.000 0.000 0.664  2.26
Mn: 0.000 0.500 0.164  2.26
Cr: 0.500 0.000 0.286  -1.64
Cr: 0.500 0.500 0.786  -1.64
Pd: 0.500 0.000 0.017  0.09
Pd: 0.500 0.500 0.517  0.09
N: 0.000 0.000 0.294  0.02
N: 0.000 0.500 0.794  0.02

## Properties
* space-group type: Amm2
* D(E_F): 5.9 states/eV/cell
* formation energy from raw total energies: -8 meV/atom
* offset from the most stable computed form: 0.240 eV per atom
* density: 7394 kg/m3

***

[6]
Sr2MnNi | PBE | optimized geometry

Cell lengths 4.181, 4.676, 6.403 Å; angles 68.59, 90.00, 90.00 degrees
Last column: magnetic moment on the atom in μB.
Element x y z (fractional)
Mn: 0.000 0.675 0.526  3.63
Ni: 0.500 0.574 0.727  0.38
Sr: 0.000 0.985 0.904  -0.04
Sr: 0.500 0.266 0.343  -0.04

## Properties
* space-group type: Amm2
* D(E_F): 3.6 states/eV/cell
* formation enthalpy at 0 K: 0.21 eV per atom
* density: 4116 kg/m3

***

[7]
AgTeI2O | PBE | optimized geometry

Cell lengths 5.850, 5.850, 3.984 Å; angles 90.00, 90.00, 90.00 degrees
Element x y z (fractional)
I: 0.000 0.500 0.000
I: 0.500 0.000 0.000
Te: 0.500 0.500 0.500
O: 0.000 0.000 0.500
Ag: 0.000 0.000 0.000

## Properties
* space-group type: P4/mmm
* D(E_F): 8.0 states/eV/cell
* formation energy from raw total energies: 396 meV/atom
* offset from the most stable computed form: 0.423 eV per atom
* density: 6153 kg/m3

***

[8]
CaBePt | PBE | optimized geometry

Cell lengths 5.630, 5.630, 5.630 Å; angles 149.45, 144.38, 47.62 degrees
Element x y z (fractional)
Be: 0.052 0.052 0.000
Ca: 0.330 0.330 0.000
Pt: 0.619 0.619 0.000

## Properties
* space-group type: Imm2
* D(E_F): 1.8 states/eV/cell
* formation enthalpy at 0 K: -0.49 eV per atom
* offset from the most stable computed form: 0.201 eV per atom
* density: 7702 kg/m3

***

[9]
Dy12MgAl4N3 | PBE | optimized geometry

Cell lengths 8.538, 8.538, 8.538 Å; angles 109.47, 109.47, 109.47 degrees
Element x y z (fractional)
Dy: 0.250 0.500 0.750
Dy: 0.727 0.000 0.727
Dy: 0.273 0.000 0.273
Dy: 0.750 0.500 0.250
Dy: 0.727 0.727 0.000
Dy: 0.273 0.273 0.000
Dy: 0.750 0.250 0.500
Dy: 0.250 0.750 0.500
Dy: 0.500 0.250 0.750
Dy: 0.000 0.727 0.727
Dy: 0.500 0.750 0.250
Dy: 0.000 0.273 0.273
Mg: 0.000 0.000 0.000
Al: 0.500 0.500 0.500
Al: 0.000 0.000 0.500
Al: 0.500 0.000 0.000
Al: 0.000 0.500 0.000
N: 0.500 0.000 0.500
N: 0.500 0.500 0.000
N: 0.000 0.500 0.500

## Properties
* space-group type: Im-3m
* D(E_F): 15.1 states/eV/cell
* formation energy from raw total energies: -465 meV/atom
* density: 7363 kg/m3

***

[10]
KEu2Pb | PBE | optimized geometry

Cell lengths 5.893, 5.893, 5.893 Å; angles 60.00, 60.00, 60.00 degrees
Last column: magnetic moment on the atom in μB.
Element x y z (fractional)
Pb: 0.500 0.500 0.500  -0.08
Eu: 0.250 0.250 0.250  7.01
Eu: 0.750 0.750 0.750  7.01
K: 0.000 0.000 0.000  0.05

## Properties
* space-group type: Fm-3m
* D(E_F): 2.4 states/eV/cell
* formation enthalpy at 0 K: -0.17 eV per atom
* offset from the most stable computed form: 0.036 eV per atom
* density: 6314 kg/m3

***

[11]
LiTcP | PBE | optimized geometry

Cell lengths 2.985, 2.985, 6.022 Å; angles 90.00, 90.00, 120.00 degrees
Element x y z (fractional)
Li: 0.000 0.000 0.018
P: 0.667 0.333 0.362
Tc: 0.333 0.667 0.620

## Properties
* space-group type: P3m1
* D(E_F): 3.3 states/eV/cell
* formation enthalpy at 0 K: -0.12 eV per atom
* offset from the most stable computed form: 0.417 eV per atom
* density: 4857 kg/m3

***

[12]
CaLaGa3 | PBE | optimized geometry

Cell lengths 4.407, 4.319, 13.387 Å; angles 90.00, 99.47, 90.00 degrees
Element x y z (fractional)
Ca: 0.205 0.750 0.409
Ca: 0.795 0.250 0.591
La: 0.928 0.750 0.857
La: 0.072 0.250 0.143
Ga: 0.619 0.750 0.238
Ga: 0.381 0.250 0.762
Ga: 0.524 0.750 0.048
Ga: 0.476 0.250 0.952
Ga: 0.672 0.250 0.343
Ga: 0.328 0.750 0.657

## Properties
* space-group type: Cmcm
* D(E_F): 6.1 states/eV/cell
* formation enthalpy at 0 K: -0.61 eV per atom
* density: 5130 kg/m3